PBE-GGA Co2PSe2, relaxed; uncorrected formation energy = 516.3 meV/atom; electronic total energy = -4.802 eV per atom
1.0
3.9259 0.0000 0.0000
0.0000 3.9259 0.0000
1.9630 1.9630 5.1327
Se Co P
2 2 1
Direct
0.7500 0.2500 0.5000
0.2500 0.7500 0.5000
0.6151 0.6151 0.7697
0.3849 0.3849 0.2303
0.0000 0.0000 0.0000

PBE-GGA SrCoP2Se8, relaxed; uncorrected formation energy = -356.7 meV/atom; electronic total energy = -4.314 eV per atom
1.0
6.0676 0.0000 0.0000
-3.0338 5.2547 0.0000
0.0000 0.0000 8.9545
Se Co P Sr
8 1 2 1
Direct
0.3333 0.6667 0.9739
0.9727 0.2896 0.6701
0.3169 0.0273 0.6701
0.2896 0.3169 0.3299
0.7104 0.6831 0.6701
0.6667 0.3333 0.0261
0.0273 0.7104 0.3299
0.6831 0.9727 0.3299
0.0000 0.0000 0.5000
0.3333 0.6667 0.7280
0.6667 0.3333 0.2720
0.0000 0.0000 0.0000

PBE-GGA Th4CoPSe2, relaxed; uncorrected formation energy = -1256.8 meV/atom; electronic total energy = -7.402 eV per atom
1.0
-2.2181 -2.1512 -2.5541
-2.4701 -4.0519 5.5579
-4.5586 5.7683 -0.8995
Th P Se Co
4 1 2 1
Direct
0.0000 0.7234 0.2151
0.0000 0.2766 0.7849
0.5000 0.2449 0.2285
0.5000 0.7551 0.7715
0.0000 0.0000 0.0000
0.5000 0.0000 0.5000
0.0000 0.5000 0.5000
0.5000 0.5000 0.0000